Here is an optimized crystal structure of Sr2MgAl3 from Alexandria via LeMat-Bulk. Energies are from PBE-GGA.

The calculation puts the formation enthalpy at 0 K at -0.21 eV per atom. Its electronic total energy is -2.905 eV/atom. For the density of states at the Fermi level, the calculation gives 5.088 states/eV per cell.

The space group is C2/m (No. 12) and the conventional cell measures 10.3220, 5.9974 and 5.9840 Å, with angles of 90.00, 125.01 and 90.00 degrees. The inequivalent atoms are Sr at (0.1219, 0.0000, 0.3782), Mg at (0.0000, 0.5000, 0.0000), Al at (0.0000, 0.5000, 0.5000) and Al at (0.2500, 0.2500, 0.0000).

=====

Here is an optimized crystal structure of Na2CaNiH6 from Alexandria via LeMat-Bulk. Energies are from PBE-GGA.

Its electronic total energy is -3.237 eV/atom. For the density of states at the Fermi level, the calculation gives 1.136 states/eV per cell.

The space group is P-3m1 (No. 164) and the conventional cell measures 5.0287, 5.0287 and 5.8688 Å, with angles of 90.00, 90.00 and 120.00 degrees. The inequivalent atoms are Na at (0.3333, 0.6667, 0.1204), Ca at (0.0000, 0.0000, 0.5000), Ni at (0.0000, 0.0000, 0.0000) and H at (0.1442, 0.2883, 0.8352).

=====

Number 1: V 25.286 Å³ per atom. Number 2: V 12.853 Å³ per atom.